A.
VASP calculation (PBE) on a relaxed structure of ScZn3Ga.

Output
The magnetization comes out at 0.0 μB per formula unit. The crystal system is cubic.

abc: 4.681 4.681 4.681
angles: 90.00 90.00 90.00
Element x y z (fractional)
1 Sc 0.000 0.000 0.000
2 Zn 0.000 0.500 0.500
3 Zn 0.500 0.000 0.500
4 Zn 0.500 0.500 0.000
5 Ga 0.500 0.500 0.500

B.
VASP calculation (PBE) on a relaxed structure of ScZn3Ga.

Output
The magnetization comes out at 0.0 μB per formula unit. The crystal system is cubic.

abc: 5.265 5.265 5.265
angles: 90.00 90.00 90.00
Element x y z (fractional)
1 Sc 0.000 0.000 0.000
2 Zn 0.000 0.000 0.500
3 Zn 0.000 0.500 0.000
4 Zn 0.500 0.000 0.000
5 Ga 0.500 0.500 0.500

The data favor A; the next most stable structure lies 48.0 kJ/mol of atoms above it.